{"formula": "PrInPdPt", "functional": "PBE", "state": "relaxed", "sg": "P6_3mc (186)", "dft_energy_ry_per_atom": -0.4070, "magmom_total_mub_per_cell": 0.0, "cell": [[4.660, 0.000, 0.000], [-2.330, 4.036, 0.000], [0.000, 0.000, 9.302]], "species": ["Pr", "Pr", "Pt", "Pt", "In", "In", "Pd", "Pd"], "frac_coords": [[0.333, 0.667, 0.752], [0.667, 0.333, 0.252], [0.667, 0.333, 0.917], [0.333, 0.667, 0.417], [0.000, 0.000, 0.999], [0.000, 0.000, 0.499], [0.667, 0.333, 0.583], [0.333, 0.667, 0.083]]}

=====

{"formula": "Pr3InSn2PdPt2", "functional": "PBE", "state": "relaxed", "sg": "Amm2 (38)", "dft_energy_ry_per_atom": -0.4175, "magmom_total_mub_per_cell": 0.0, "cell": [[4.179, 0.000, 0.000], [0.000, 6.641, 3.844], [0.000, -6.641, 3.844]], "species": ["Pr", "Pr", "Pr", "In", "Sn", "Sn", "Pt", "Pt", "Pd"], "frac_coords": [[0.500, 0.584, 0.999], [0.500, 0.416, 0.416], [0.500, 0.999, 0.584], [0.000, 0.751, 0.751], [0.000, 0.998, 0.247], [0.000, 0.247, 0.998], [0.000, 0.333, 0.667], [0.000, 0.667, 0.333], [0.500, 0.005, 0.005]]}

=====

{"formula": "Pr3In2SnPdPt2", "functional": "PBE", "state": "relaxed", "sg": "Amm2 (38)", "dft_energy_ry_per_atom": -0.4047, "magmom_total_mub_per_cell": 0.0, "cell": [[4.059, 0.000, 0.000], [0.000, 6.759, 3.901], [0.000, -6.759, 3.901]], "species": ["In", "In", "Pr", "Pr", "Pr", "Pt", "Pt", "Sn", "Pd"], "frac_coords": [[0.500, 0.001, 0.252], [0.500, 0.252, 0.001], [0.000, 0.001, 0.586], [0.000, 0.414, 0.414], [0.000, 0.586, 0.001], [0.500, 0.666, 0.333], [0.500, 0.333, 0.666], [0.500, 0.751, 0.751], [0.000, 0.996, 0.996]]}